Entry from Alexandria via LeMat-Bulk: crystalline ZnCoIrO4 at its relaxed geometry (GGA+U).

Computed properties:
V = 151.6 Å³/cell
electronic total energy = -5.925 eV per atom
mass density = 8.34 Mg/m³
SG = No. 74

Unit cell a=5.8566 b=5.9848 c=6.1236 alpha=120.77 beta=90.00 gamma=119.29
Fractional coordinates of all 14 atoms:
Zn 0.8710 0.7419 0.1210
Zn 0.1290 0.2581 0.8790
Co 0.5000 0.5000 0.5000
Co 0.0000 0.5000 0.5000
Ir 0.5000 0.0000 0.5000
Ir 0.5000 0.0000 0.0000
O 0.7437 0.4874 0.7098
O 0.2879 0.0417 0.2708
O 0.7538 0.0417 0.2708
O 0.7437 0.4874 0.2776
O 0.2563 0.5126 0.7224
O 0.7121 0.9583 0.7292
O 0.2462 0.9583 0.7292
O 0.2563 0.5126 0.2902